Below is a crystal of K2Co2Se3O9 relaxed with PBEsol, with properties calculated at the SCAN level.

Computed properties:
- VASP energy (Ry per atom) = -0.864
- mass density (Mg/m³) = 4.28
- magnetization (μB/cell) = 12.00
- energy relative to the elements, uncorrected (eV/atom) = -1.283

```
K2Co2Se3O9
1.0
5.4928 0.0000 0.0000
-2.7464 4.7569 0.0000
0.0000 0.0000 17.1344
O K Se Co
18 4 6 4
direct
0.5000 0.5000 0.2462 O
0.1633 0.8367 0.9011 O
0.5000 0.0001 0.2462 O
0.8367 0.6733 0.4011 O
0.3267 0.1633 0.4011 O
0.1615 0.3230 0.5983 O
0.5000 0.5000 0.7462 O
0.6733 0.8367 0.9011 O
0.0001 0.5000 0.7462 O
0.8385 0.1615 0.0983 O
0.5000 0.9999 0.7462 O
0.6770 0.8385 0.5983 O
0.9999 0.5000 0.2462 O
0.3230 0.1615 0.0983 O
0.8367 0.1633 0.4011 O
0.1615 0.8385 0.5983 O
0.8385 0.6770 0.0983 O
0.1633 0.3267 0.9011 O
0.6667 0.3333 0.5449 K
0.6667 0.3333 0.9709 K
0.3333 0.6667 0.4709 K
0.3333 0.6667 0.0449 K
0.3333 0.6667 0.2872 Se
0.6667 0.3333 0.7872 Se
0.0000 0.0000 0.6446 Se
0.0000 0.0000 0.8568 Se
0.0000 0.0000 0.1446 Se
0.0000 0.0000 0.3568 Se
0.6667 0.3333 0.1681 Co
0.3333 0.6667 0.8259 Co
0.3333 0.6667 0.6681 Co
0.6667 0.3333 0.3259 Co
```